Crystalline ZnCoPtO6 at its relaxed geometry, computed with GGA+U.

Structure (extended XYZ):
```
18
Lattice="5.0281 0.0000 0.0000 -2.5141 4.3545 0.0000 0.0000 0.0000 8.7712" Properties=species:S:1:pos:R:3 pbc="T T T"
Pt 0.0000 2.9030 2.1928
Pt 2.5141 1.4515 6.5784
O 1.5669 2.8542 5.5493
O 0.7412 4.2844 7.6075
O 3.2553 0.0701 3.2219
O 0.9472 1.5003 3.2219
O 1.6884 2.7841 1.1637
O 4.0810 1.5003 1.1637
O -1.5669 2.8542 7.6075
O 0.8257 1.5704 7.6075
O -0.8257 1.5704 5.5493
O -0.7412 4.2844 5.5493
O 3.3398 2.7841 3.2219
O 1.7729 0.0701 1.1637
Zn 0.0000 0.0000 4.3856
Zn 0.0000 0.0000 0.0000
Co 0.0000 2.9030 6.5784
Co 2.5141 1.4515 2.1928
```

Values from the calculation:
Its crystal system is trigonal. The energy is -95.0 eV/cell.